Material: EuHAu
Method: DFT, GGA-PBE
State: relaxed

Cell lengths 4.013, 4.013, 4.372 Å; angles 90.00, 90.00, 120.00 degrees
Fractional coordinates of all 3 atoms:
1 Eu 0.000 0.000 0.000
2 H 0.333 0.667 0.002
3 Au 0.667 0.333 0.500

Results
space group	P3m1 (156)
offset from the most stable computed form	27	meV/atom
DOS at the Fermi energy	2.73	states/eV per cell